# YSi2Ir, optimized geometry, DFT PBE
data_YSi2Ir
_chemical_formula_sum 'Y4 Si8 Ir4'
_space_group_name_H-M_alt 'F -4 3 m'
_space_group_IT_number 216
_space_group_name_Hall 'F -4 2 3'
_cell_length_a 6.540
_cell_length_b 6.540
_cell_length_c 6.540
_cell_angle_alpha 90.00
_cell_angle_beta 90.00
_cell_angle_gamma 90.00
loop_
_atom_site_label
_atom_site_type_symbol
_atom_site_fract_x
_atom_site_fract_y
_atom_site_fract_z
_atom_site_occupancy
Y1 Y 0.000 0.000 0.000 1
Si1 Si 0.000 0.000 0.500 1
Si2 Si 0.250 0.250 0.250 1
Ir1 Ir 0.250 0.250 0.750 1
# - Formation energy from raw total energies: -218 meV per atom

***

# Cr2HIr, optimized geometry, DFT PBE
data_Cr2HIr
_chemical_formula_sum 'Cr8 H4 Ir4'
_space_group_name_H-M_alt 'F m -3 m'
_space_group_IT_number 225
_space_group_name_Hall '-F 4 2 3'
_cell_length_a 5.746
_cell_length_b 5.746
_cell_length_c 5.746
_cell_angle_alpha 90.00
_cell_angle_beta 90.00
_cell_angle_gamma 90.00
loop_
_atom_site_label
_atom_site_type_symbol
_atom_site_fract_x
_atom_site_fract_y
_atom_site_fract_z
_atom_site_occupancy
Cr1 Cr 0.250 0.250 0.250 1
H1 H 0.000 0.000 0.000 1
Ir1 Ir 0.000 0.000 0.500 1
# - Polymorph energy (0 for the lowest one): 708.4 meV/atom